Here is a PBEsol-optimized structure of Ga3CuAu from Alexandria via LeMat-Bulk. Energies are from SCAN.

volume: 18.86 Å³ per atom
ΔE_f: 0.971 eV/f.u.
DOS(E_F): 1.2 states/eV/cell
space group: Pm-3m (221)

Unit cell a=4.5516 b=4.5516 c=4.5516 alpha=90.00 beta=90.00 gamma=90.00
Sites, in units of the cell vectors:
Au1 0.5000 0.5000 0.5000
Cu1 0.0000 0.0000 0.0000
Ga1 0.0000 0.5000 0.0000
Ga2 0.0000 0.0000 0.5000
Ga3 0.5000 0.0000 0.0000

Here is a PBEsol-optimized structure of CdReP2 from Alexandria via LeMat-Bulk. Energies are from SCAN.

volume: 15.39 Å³ per atom
ΔE_f: 4.654 eV/f.u.
DOS(E_F): 2.3 states/eV/cell
space group: F-43m (216)

Unit cell a=4.4318 b=4.4318 c=4.4318 alpha=60.00 beta=60.00 gamma=60.00
Sites, in units of the cell vectors:
Cd1 0.5000 0.5000 0.5000
P1 0.0000 0.0000 0.0000
P2 0.7500 0.7500 0.7500
Re1 0.2500 0.2500 0.2500

Here is a PBEsol-optimized structure of NbCrO4 from Alexandria via LeMat-Bulk. Energies are from SCAN.

volume: 12.02 Å³ per atom
total energy: -92.12 eV/cell
DOS(E_F): 0.1 states/eV/cell
space group: I-4m2 (119)

Unit cell a=3.8872 b=3.8872 c=5.5077 alpha=110.66 beta=110.66 gamma=90.00
Last column: magnetic moment on the atom in μB.
Sites, in units of the cell vectors:
Cr1 0.7500 0.2500 0.5000  2.79
Nb1 0.5000 0.5000 0.0000  0.09
O1 0.9566 0.4566 0.9133  0.00
O2 0.2899 0.2899 0.5798  0.01
O3 0.5434 0.0434 0.0867  0.00
O4 0.7101 0.7101 0.4202  0.01

Here is a PBEsol-optimized structure of RbNaTe2Os from Alexandria via LeMat-Bulk. Energies are from SCAN.

volume: 30.05 Å³ per atom
total energy: -171.14 eV/cell
DOS(E_F): 4.0 states/eV/cell
space group: P4/mmm (123)

Unit cell a=5.2111 b=5.2111 c=5.5323 alpha=90.00 beta=90.00 gamma=90.00
Sites, in units of the cell vectors:
Na1 0.0000 0.0000 0.5000
Te1 0.0000 0.5000 0.0000
Te2 0.5000 0.0000 0.0000
Os1 0.0000 0.0000 0.0000
Rb1 0.5000 0.5000 0.5000

Here is a PBEsol-optimized structure of AlNi2Sb from Alexandria via LeMat-Bulk. Energies are from SCAN.

volume: 14.72 Å³ per atom
relative energy among the computed polymorphs: 198 meV/atom
DOS(E_F): 1.8 states/eV/cell
space group: R-3m (166)

Unit cell a=2.9768 b=2.9768 c=7.8604 alpha=79.08 beta=79.08 gamma=60.00
Sites, in units of the cell vectors:
Sb1 0.5000 0.5000 0.5000
Al1 0.0000 0.0000 0.0000
Ni1 0.2541 0.2541 0.2378
Ni2 0.7459 0.7459 0.7622

Here is a PBEsol-optimized structure of AlTeRh2 from Alexandria via LeMat-Bulk. Energies are from SCAN.

volume: 15.87 Å³ per atom
relative energy among the computed polymorphs: 14 meV/atom
DOS(E_F): 1.9 states/eV/cell
space group: Cm (8)

Unit cell a=3.3518 b=4.3146 c=4.8312 alpha=103.46 beta=110.30 gamma=90.00
Sites, in units of the cell vectors:
Te1 0.4953 0.4381 0.9907
Rh1 0.9864 0.9235 0.9728
Rh2 0.7607 0.3120 0.5213
Al1 0.2576 0.8264 0.5152

Here is a PBEsol-optimized structure of TaAsPb2W from Alexandria via LeMat-Bulk. Energies are from SCAN.

volume: 26.67 Å³ per atom
ΔE_f: 6.296 eV/f.u.
DOS(E_F): 3.0 states/eV/cell
space group: P4/mmm (123)

Unit cell a=4.8248 b=5.2572 c=5.2572 alpha=90.00 beta=90.00 gamma=90.00
Sites, in units of the cell vectors:
Pb1 0.0000 0.0000 0.5000
Pb2 0.0000 0.5000 0.0000
As1 0.5000 0.5000 0.5000
W1 0.0000 0.0000 0.0000
Ta1 0.5000 0.0000 0.0000

Here is a PBEsol-optimized structure of K2CoP2WO10 from Alexandria via LeMat-Bulk. Energies are from SCAN.

volume: 14.07 Å³ per atom
total energy: -896.46 eV/cell
space group: P4_12_12 (92)

Unit cell a=9.1790 b=9.1790 c=10.6898 alpha=90.00 beta=90.00 gamma=90.00
Last column: magnetic moment on the atom in μB.
Sites, in units of the cell vectors:
K1 0.7141 0.9966 0.9631  0.00
K2 0.2859 0.0034 0.4631  0.00
K3 0.7859 0.4966 0.2869  0.00
K4 0.2141 0.5034 0.7869  0.00
K5 0.0034 0.2859 0.5369  0.00
K6 0.5034 0.2141 0.2131  0.00
K7 0.9966 0.7141 0.0369  0.00
K8 0.4966 0.7859 0.7131  0.00
Co1 0.8691 0.1309 0.2500  2.66
Co2 0.6309 0.6309 0.0000  2.66
Co3 0.3691 0.3691 0.5000  2.66
Co4 0.1309 0.8691 0.7500  2.66
P1 0.6773 0.8290 0.2517  0.01
P2 0.6710 0.1773 0.5018  0.01
P3 0.8227 0.3290 0.9982  0.01
P4 0.3227 0.1710 0.7518  0.01
P5 0.8290 0.6773 0.7482  0.01
P6 0.1710 0.3227 0.2482  0.01
P7 0.3290 0.8227 0.0018  0.01
P8 0.1773 0.6710 0.4982  0.01
W1 0.3866 0.6134 0.2500  0.02
W2 0.6134 0.3866 0.7500  0.02
W3 0.8866 0.8866 0.5000  0.02
W4 0.1134 0.1134 0.0000  0.02
O1 0.7775 0.7609 0.6291  0.01
O2 0.0068 0.9506 0.6200  0.04
O3 0.2609 0.7225 0.3791  0.01
O4 0.9506 0.0068 0.3800  0.04
O5 0.2148 0.4861 0.2224  0.00
O6 0.7391 0.2775 0.8791  0.01
O7 0.5494 0.5068 0.8700  0.04
O8 0.2381 0.7559 0.6105  0.03
O9 0.9861 0.2852 0.9724  0.00
O10 0.7852 0.5139 0.7224  0.00
O11 0.3138 0.0067 0.7320  0.04
O12 0.2619 0.2559 0.6395  0.03
O13 0.2852 0.9861 0.0276  0.00
O14 0.4932 0.4506 0.6300  0.04
O15 0.7225 0.2609 0.6209  0.01
O16 0.5139 0.7852 0.2776  0.00
O17 0.4933 0.8138 0.9820  0.04
O18 0.2391 0.2225 0.8709  0.01
O19 0.2225 0.2391 0.1291  0.01
O20 0.4506 0.4932 0.3700  0.04
O21 0.0494 0.9932 0.8800  0.04
O22 0.7559 0.2381 0.3895  0.03
O23 0.1862 0.5067 0.5180  0.04
O24 0.0139 0.7148 0.4724  0.00
O25 0.2559 0.2619 0.3605  0.03
O26 0.0067 0.3138 0.2680  0.04
O27 0.7148 0.0139 0.5276  0.00
O28 0.8138 0.4933 0.0180  0.04
O29 0.6862 0.9933 0.2320  0.04
O30 0.7619 0.2441 0.1105  0.03
O31 0.7609 0.7775 0.3709  0.01
O32 0.2775 0.7391 0.1209  0.01
O33 0.9933 0.6862 0.7680  0.04
O34 0.9932 0.0494 0.1200  0.04
O35 0.2441 0.7619 0.8895  0.03
O36 0.5068 0.5494 0.1300  0.04
O37 0.7441 0.7381 0.8605  0.03
O38 0.7381 0.7441 0.1395  0.03
O39 0.5067 0.1862 0.4820  0.04
O40 0.4861 0.2148 0.7776  0.00